4
Lattice="3.5784 0.0000 0.0000 0.0000 3.5785 0.0000 0.0000 0.0000 6.6288" Properties=species:S:1:pos:R:3 comment="Mn2SbPb | the Alexandria database | PBE | relaxed" energy_ev_per_cell=-24.72 formation_energy_uncorrected_ev_per_fu=1.45 e_above_lowest_polymorph_ev_per_atom=0.1117 pbc="T T T"
Mn 0.0000 0.0000 6.3525
Mn 0.0000 0.0000 3.5906
Pb 1.7892 1.7892 1.6572
Sb 1.7892 1.7892 4.9716

4
Lattice="-3.8353 -1.4362 0.3191 1.1471 -3.3288 -1.1950 1.5323 -3.1211 4.3685" Properties=species:S:1:pos:R:3 comment="Mn2SbPb | the Alexandria database | PBE | relaxed" energy_ev_per_cell=-25.03 formation_energy_uncorrected_ev_per_fu=1.14 e_above_lowest_polymorph_ev_per_atom=0.0346 pbc="T T T"
Mn 1.7021 -3.6762 3.9111
Mn -1.4286 -1.7584 1.3550
Pb 1.1782 -2.8801 1.1976
Sb 0.2644 -5.9174 2.9842

8
Lattice="-0.9971 1.0850 -7.4479 -1.1220 -7.4505 -0.9352 -4.1645 -2.7748 -3.7165" Properties=species:S:1:pos:R:3 comment="Mn2SbPb | the Alexandria database | PBE | relaxed" energy_ev_per_cell=-48.52 formation_energy_uncorrected_ev_per_fu=1.91 e_above_lowest_polymorph_ev_per_atom=0.2263 pbc="T T T"
Pb 0.0000 0.0000 0.0000
Pb -3.1105 -2.4362 -7.6780
Sb -1.0595 -3.1827 -4.1915
Sb -3.1730 -6.7040 -4.4216
Mn -1.7914 -0.9611 -5.6032
Mn -1.8801 -5.2004 -2.5424
Mn -3.9327 -4.5659 -5.9433
Mn -4.9628 -7.5530 -10.1103